First-principles (PBE-GGA) data for a geometry-optimized CrAg structure, as listed in Alexandria.

The formation energy is 773 meV per atom. As for the magnetization: 0.4 μB per cell. The calculated volume is 14.73 Å³ per atom.

Lattice parameters (Å, degrees): 2.605 2.605 4.340 90.00 90.00 90.00
Last column: magnetic moment on the atom in μB.
Atoms (fractional coordinates):
Cr 0.000 0.000 0.000  0.36
Ag 0.500 0.500 0.500  0.02